(1)
Computed, not measured: an optimized crystal structure of Pm5NdGa3 at the PBE level of DFT.

## Properties
DFT formation energy = -366.6 meV/atom
SG = Cmcm

Unit cell a=6.7911 b=9.1473 c=9.1950 alpha=119.83 beta=90.00 gamma=90.00
Fractional positions:
Pm1 0.0000 0.6814 0.3628
Pm2 0.5000 0.3186 0.6372
Pm3 0.0000 0.3186 0.6372
Pm4 0.5000 0.6814 0.3628
Pm5 0.7500 0.6667 0.6762
Pm6 0.7500 0.9904 0.3238
Pm7 0.7500 0.3416 0.0000
Pm8 0.2500 0.3333 0.3238
Pm9 0.2500 0.0096 0.6762
Pm10 0.2500 0.6584 0.0000
Nd1 0.0000 0.0000 0.0000
Nd2 0.5000 0.0000 0.0000
Ga1 0.7500 0.3353 0.3344
Ga2 0.7500 0.0010 0.6656
Ga3 0.7500 0.6662 0.0000
Ga4 0.2500 0.6647 0.6656
Ga5 0.2500 0.9990 0.3344
Ga6 0.2500 0.3338 0.0000

=====

(2)
Computed, not measured: an optimized crystal structure of Pm2Zn3InCu4 at the PBE level of DFT.

## Properties
DFT formation energy = -235.8 meV/atom
SG = P-4m2

Unit cell a=4.0851 b=4.0851 c=11.1624 alpha=90.00 beta=90.00 gamma=90.00
Fractional positions:
Pm1 0.5000 0.0000 0.2393
Pm2 0.0000 0.5000 0.7607
Zn1 0.0000 0.0000 0.5000
Zn2 0.5000 0.0000 0.8724
Zn3 0.0000 0.5000 0.1276
In1 0.5000 0.5000 0.5000
Cu1 0.5000 0.5000 0.0000
Cu2 0.0000 0.0000 0.0000
Cu3 0.5000 0.0000 0.6523
Cu4 0.0000 0.5000 0.3477

=====

(3)
Computed, not measured: an optimized crystal structure of CoRuS4 at the PBE level of DFT.

## Properties
ΔE to the lowest computed polymorph = 0.0 meV per atom
Uncorrected formation energy = -0.43 eV/atom
SG = P2_1/c

Unit cell a=5.6014 b=5.5587 c=5.6106 alpha=89.46 beta=90.00 gamma=90.00
Each line ends with the local moment (μB).
Fractional positions:
Co1 0.5000 0.5000 0.0000  0.90
Co2 0.0000 0.5000 0.5000  0.90
Ru1 0.5000 0.0000 0.5000  -0.01
Ru2 0.0000 0.0000 0.0000  -0.01
S1 0.1105 0.8833 0.3892  0.01
S2 0.6105 0.1167 0.1108  0.01
S3 0.8859 0.6079 0.8886  0.03
S4 0.3859 0.3921 0.6114  0.03
S5 0.8895 0.1167 0.6108  0.01
S6 0.3895 0.8833 0.8892  0.01
S7 0.1141 0.3921 0.1114  0.03
S8 0.6141 0.6079 0.3886  0.03

=====

no.,total moment (μB/cell),V (Å³/atom),total DFT energy (no corrections) (eV/atom)
1,0.00,27.53,-4.5445
2,0.00,18.63,-3.4804
3,1.99,14.56,-5.9132